Record 1
# PBE AcPaCr2S8, relaxed
# **ΔE_f (raw)**: -0.965 eV per atom
# **N(E_F)**: 7.45 states/eV per cell
# **Space-group type**: No. 82
data_AcPaCr2S8
_cell_length_a 6.251
_cell_length_b 6.251
_cell_length_c 8.296
_cell_angle_alpha 112.13
_cell_angle_beta 112.13
_cell_angle_gamma 90.00
_symmetry_space_group_name_H-M 'P 1'
_symmetry_Int_Tables_number 1
_symmetry_space_group_name_Hall 'P 1'
loop_
_atom_site_label
_atom_site_fract_x
_atom_site_fract_y
_atom_site_fract_z
Ac1 0.750 0.250 0.500
Pa1 0.000 0.000 0.000
Cr1 0.500 0.500 0.000
Cr2 0.250 0.750 0.500
S1 0.732 0.841 0.143
S2 0.411 0.302 0.143
S3 0.597 0.708 0.674
S4 0.077 0.966 0.674
S5 0.034 0.403 0.326
S6 0.292 0.923 0.326
S7 0.159 0.589 0.857
S8 0.698 0.268 0.857

=====

Record 2
# PBE AcPaCrS6, relaxed
# **ΔE_f (raw)**: -1.165 eV per atom
# **N(E_F)**: 5.14 states/eV per cell
# **Space-group type**: No. 149
data_AcPaCrS6
_cell_length_a 5.863
_cell_length_b 6.624
_cell_length_c 6.624
_cell_angle_alpha 120.00
_cell_angle_beta 90.00
_cell_angle_gamma 90.00
_symmetry_space_group_name_H-M 'P 1'
_symmetry_Int_Tables_number 1
_symmetry_space_group_name_Hall 'P 1'
loop_
_atom_site_label
_atom_site_fract_x
_atom_site_fract_y
_atom_site_fract_z
Ac1 0.500 0.667 0.333
Pa1 0.000 0.333 0.667
Cr1 0.500 0.000 0.000
S1 0.745 0.690 0.731
S2 0.745 0.269 0.960
S3 0.745 0.040 0.310
S4 0.255 0.269 0.310
S5 0.255 0.690 0.960
S6 0.255 0.040 0.731

=====

Record 3
# PBE AcPaCrSe6, relaxed
# **ΔE_f (raw)**: -0.997 eV per atom
# **N(E_F)**: 6.31 states/eV per cell
# **Space-group type**: No. 149
data_AcPaCrSe6
_cell_length_a 6.175
_cell_length_b 6.957
_cell_length_c 6.957
_cell_angle_alpha 120.00
_cell_angle_beta 90.00
_cell_angle_gamma 90.00
_symmetry_space_group_name_H-M 'P 1'
_symmetry_Int_Tables_number 1
_symmetry_space_group_name_Hall 'P 1'
loop_
_atom_site_label
_atom_site_fract_x
_atom_site_fract_y
_atom_site_fract_z
Ac1 0.500 0.667 0.333
Pa1 0.000 0.333 0.667
Cr1 0.500 0.000 0.000
Se1 0.746 0.689 0.726
Se2 0.746 0.274 0.963
Se3 0.746 0.037 0.311
Se4 0.254 0.274 0.311
Se5 0.254 0.689 0.963
Se6 0.254 0.037 0.726

=====

Record 4
# PBE AcCrPd4, relaxed
# **Final energy**: -36.49 eV/cell
# **N(E_F)**: 4.40 states/eV per cell
# **Space-group type**: No. 216
data_AcCrPd4
_cell_length_a 5.480
_cell_length_b 5.480
_cell_length_c 5.480
_cell_angle_alpha 60.00
_cell_angle_beta 60.00
_cell_angle_gamma 60.00
_symmetry_space_group_name_H-M 'P 1'
_symmetry_Int_Tables_number 1
_symmetry_space_group_name_Hall 'P 1'
loop_
_atom_site_label
_atom_site_fract_x
_atom_site_fract_y
_atom_site_fract_z
Cr1 0.000 0.000 0.000
Ac1 0.250 0.250 0.250
Pd1 0.626 0.626 0.123
Pd2 0.626 0.123 0.626
Pd3 0.626 0.626 0.626
Pd4 0.123 0.626 0.626

=====

Record 5
# PBE Ac2CrSi3Pt12, relaxed
# **ΔE_f (raw)**: -0.484 eV per atom
# **N(E_F)**: 8.31 states/eV per cell
# **Space-group type**: No. 166
data_Ac2CrSi3Pt12
_cell_length_a 7.844
_cell_length_b 7.844
_cell_length_c 7.844
_cell_angle_alpha 63.68
_cell_angle_beta 63.68
_cell_angle_gamma 63.68
_symmetry_space_group_name_H-M 'P 1'
_symmetry_Int_Tables_number 1
_symmetry_space_group_name_Hall 'P 1'
loop_
_atom_site_label
_atom_site_fract_x
_atom_site_fract_y
_atom_site_fract_z
Ac1 0.615 0.615 0.615
Ac2 0.385 0.385 0.385
Cr1 0.000 0.000 0.000
Si1 0.500 0.000 0.000
Si2 0.000 0.500 0.000
Si3 0.000 0.000 0.500
Pt1 0.350 0.350 0.901
Pt2 0.878 0.878 0.370
Pt3 0.370 0.878 0.878
Pt4 0.901 0.350 0.350
Pt5 0.878 0.370 0.878
Pt6 0.350 0.901 0.350
Pt7 0.650 0.650 0.099
Pt8 0.122 0.122 0.630
Pt9 0.630 0.122 0.122
Pt10 0.099 0.650 0.650
Pt11 0.122 0.630 0.122
Pt12 0.650 0.099 0.650

=====

Record 6
# PBE Rb4Ac3CrS8, relaxed
# **ΔE_f (raw)**: -1.524 eV per atom
# **Space-group type**: No. 166
data_Rb4Ac3CrS8
_cell_length_a 8.559
_cell_length_b 9.175
_cell_length_c 8.559
_cell_angle_alpha 117.79
_cell_angle_beta 120.00
_cell_angle_gamma 90.00
_symmetry_space_group_name_H-M 'P 1'
_symmetry_Int_Tables_number 1
_symmetry_space_group_name_Hall 'P 1'
loop_
_atom_site_label
_atom_site_fract_x
_atom_site_fract_y
_atom_site_fract_z
Rb1 0.500 0.000 0.000
Rb2 0.500 0.000 0.500
Rb3 0.000 0.000 0.000
Rb4 0.000 0.000 0.500
Ac1 0.500 0.500 0.000
Ac2 0.500 0.500 0.500
Ac3 0.000 0.500 0.500
Cr1 0.000 0.500 0.000
S1 0.211 0.689 0.978
S2 0.211 0.689 0.421
S3 0.263 0.289 0.526
S4 0.767 0.689 0.978
S5 0.233 0.311 0.022
S6 0.737 0.711 0.474
S7 0.789 0.311 0.579
S8 0.789 0.311 0.022

=====

Record 7
# PBE Rb3Ac3CrS8, relaxed
# **ΔE_f (raw)**: -1.488 eV per atom
# **N(E_F)**: 9.28 states/eV per cell
# **Space-group type**: No. 166
data_Rb3Ac3CrS8
_cell_length_a 8.481
_cell_length_b 8.481
_cell_length_c 9.249
_cell_angle_alpha 117.29
_cell_angle_beta 90.00
_cell_angle_gamma 120.00
_symmetry_space_group_name_H-M 'P 1'
_symmetry_Int_Tables_number 1
_symmetry_space_group_name_Hall 'P 1'
loop_
_atom_site_label
_atom_site_fract_x
_atom_site_fract_y
_atom_site_fract_z
Rb1 0.000 0.000 0.000
Rb2 0.000 0.500 0.000
Rb3 0.500 0.500 0.000
Ac1 0.500 0.000 0.500
Ac2 0.500 0.500 0.500
Ac3 0.000 0.500 0.500
Cr1 0.000 0.000 0.500
S1 0.263 0.527 0.290
S2 0.737 0.473 0.710
S3 0.800 0.600 0.322
S4 0.200 0.400 0.678
S5 0.800 0.022 0.322
S6 0.200 0.978 0.678
S7 0.223 0.022 0.322
S8 0.777 0.978 0.678

=====

Record 8
# PBE Rb2AcCrSe4, relaxed
# **ΔE_f (raw)**: -1.172 eV per atom
# **Space-group type**: No. 10
data_Rb2AcCrSe4
_cell_length_a 4.288
_cell_length_b 7.345
_cell_length_c 8.385
_cell_angle_alpha 107.37
_cell_angle_beta 90.00
_cell_angle_gamma 90.00
_symmetry_space_group_name_H-M 'P 1'
_symmetry_Int_Tables_number 1
_symmetry_space_group_name_Hall 'P 1'
loop_
_atom_site_label
_atom_site_fract_x
_atom_site_fract_y
_atom_site_fract_z
Rb1 0.500 0.000 0.500
Rb2 0.000 0.500 0.500
Ac1 0.000 0.000 0.000
Cr1 0.500 0.500 0.000
Se1 0.500 0.274 0.198
Se2 0.500 0.726 0.802
Se3 0.000 0.311 0.821
Se4 0.000 0.689 0.179

=====

Record 9
# PBE Ac3Cr5S12, relaxed
# **ΔE_f (raw)**: -1.140 eV per atom
# **N(E_F)**: 43.09 states/eV per cell
# **Space-group type**: No. 230
data_Ac3Cr5S12
_cell_length_a 13.323
_cell_length_b 13.323
_cell_length_c 13.323
_cell_angle_alpha 109.47
_cell_angle_beta 109.47
_cell_angle_gamma 109.47
_symmetry_space_group_name_H-M 'P 1'
_symmetry_Int_Tables_number 1
_symmetry_space_group_name_Hall 'P 1'
loop_
_atom_site_label
_atom_site_fract_x
_atom_site_fract_y
_atom_site_fract_z
Ac1 0.750 0.375 0.125
Ac2 0.875 0.750 0.125
Ac3 0.375 0.750 0.625
Ac4 0.250 0.125 0.375
Ac5 0.875 0.125 0.250
Ac6 0.375 0.625 0.250
Ac7 0.625 0.375 0.750
Ac8 0.125 0.875 0.750
Ac9 0.750 0.875 0.625
Ac10 0.625 0.250 0.375
Ac11 0.125 0.250 0.875
Ac12 0.250 0.625 0.875
Cr1 0.125 0.375 0.250
Cr2 0.000 0.500 0.000
Cr3 0.000 0.000 0.000
Cr4 0.375 0.250 0.125
Cr5 0.500 0.000 0.500
Cr6 0.500 0.500 0.000
Cr7 0.125 0.750 0.375
Cr8 0.750 0.125 0.875
Cr9 0.750 0.625 0.375
Cr10 0.375 0.125 0.750
Cr11 0.625 0.875 0.250
Cr12 0.500 0.500 0.500
Cr13 0.500 0.000 0.000
Cr14 0.000 0.000 0.500
Cr15 0.250 0.375 0.625
Cr16 0.250 0.875 0.125
Cr17 0.000 0.500 0.500
Cr18 0.875 0.250 0.625
Cr19 0.625 0.750 0.875
Cr20 0.875 0.625 0.750
S1 0.699 0.112 0.018
S2 0.319 0.518 0.406
S3 0.982 0.388 0.301
S4 0.518 0.199 0.112
S5 0.587 0.699 0.681
S6 0.982 0.594 0.181
S7 0.319 0.801 0.413
S8 0.094 0.913 0.112
S9 0.594 0.982 0.681
S10 0.699 0.587 0.181
S11 0.801 0.482 0.388
S12 0.819 0.906 0.018
S13 0.112 0.699 0.518
S14 0.388 0.406 0.087
S15 0.087 0.906 0.388
S16 0.413 0.112 0.594
S17 0.087 0.181 0.199
S18 0.482 0.681 0.094
S19 0.819 0.913 0.301
S20 0.112 0.413 0.094
S21 0.388 0.982 0.801
S22 0.594 0.612 0.413
S23 0.906 0.819 0.518
S24 0.801 0.319 0.913
S25 0.406 0.388 0.587
S26 0.094 0.181 0.482
S27 0.199 0.681 0.087
S28 0.181 0.087 0.699
S29 0.612 0.018 0.199
S30 0.888 0.587 0.906
S31 0.518 0.319 0.906
S32 0.587 0.888 0.406
S33 0.913 0.819 0.801
S34 0.913 0.094 0.612
S35 0.888 0.301 0.482
S36 0.181 0.094 0.982
S37 0.612 0.594 0.913
S38 0.406 0.018 0.319
S39 0.301 0.413 0.819
S40 0.199 0.518 0.612
S41 0.906 0.087 0.888
S42 0.681 0.199 0.587
S43 0.482 0.801 0.888
S44 0.018 0.406 0.819
S45 0.413 0.301 0.319
S46 0.018 0.612 0.699
S47 0.681 0.482 0.594
S48 0.301 0.888 0.982

=====

Record 10
# PBE Ac3CrS6, relaxed
# **ΔE_f (raw)**: -1.727 eV per atom
# **Space-group type**: No. 14
data_Ac3CrS6
_cell_length_a 6.920
_cell_length_b 7.430
_cell_length_c 10.106
_cell_angle_alpha 90.00
_cell_angle_beta 92.46
_cell_angle_gamma 90.00
_symmetry_space_group_name_H-M 'P 1'
_symmetry_Int_Tables_number 1
_symmetry_space_group_name_Hall 'P 1'
loop_
_atom_site_label
_atom_site_fract_x
_atom_site_fract_y
_atom_site_fract_z
Ac1 0.533 0.915 0.745
Ac2 0.500 0.500 0.000
Ac3 0.467 0.085 0.255
Ac4 0.033 0.585 0.245
Ac5 0.000 0.000 0.500
Ac6 0.967 0.415 0.755
Cr1 0.500 0.500 0.500
Cr2 0.000 0.000 0.000
S1 0.713 0.174 0.940
S2 0.663 0.214 0.563
S3 0.621 0.463 0.277
S4 0.379 0.537 0.723
S5 0.337 0.786 0.437
S6 0.287 0.826 0.060
S7 0.213 0.326 0.440
S8 0.163 0.286 0.063
S9 0.121 0.037 0.777
S10 0.879 0.963 0.223
S11 0.837 0.714 0.937
S12 0.787 0.674 0.560

=====

Record 11
# PBE Ac2ScCrS6, relaxed
# **ΔE_f (raw)**: -1.631 eV per atom
# **Space-group type**: No. 59
data_Ac2ScCrS6
_cell_length_a 6.719
_cell_length_b 6.978
_cell_length_c 9.661
_cell_angle_alpha 90.00
_cell_angle_beta 90.00
_cell_angle_gamma 90.00
_symmetry_space_group_name_H-M 'P 1'
_symmetry_Int_Tables_number 1
_symmetry_space_group_name_Hall 'P 1'
loop_
_atom_site_label
_atom_site_fract_x
_atom_site_fract_y
_atom_site_fract_z
Ac1 0.500 0.789 0.277
Ac2 0.000 0.211 0.777
Ac3 0.500 0.789 0.723
Ac4 0.000 0.211 0.223
Sc1 0.500 0.279 0.500
Sc2 0.000 0.721 0.000
Cr1 0.000 0.767 0.500
Cr2 0.500 0.233 0.000
S1 0.500 0.226 0.244
S2 0.500 0.226 0.756
S3 0.000 0.774 0.256
S4 0.000 0.774 0.744
S5 0.240 0.016 0.500
S6 0.760 0.016 0.500
S7 0.257 0.544 0.500
S8 0.743 0.544 0.500
S9 0.757 0.456 0.000
S10 0.243 0.456 0.000
S11 0.260 0.984 0.000
S12 0.740 0.984 0.000

=====

Record 12
# PBE Ac2TbCrS6, relaxed
# **ΔE_f (raw)**: -1.610 eV per atom
# **Space-group type**: No. 59
data_Ac2TbCrS6
_cell_length_a 7.155
_cell_length_b 6.835
_cell_length_c 10.039
_cell_angle_alpha 90.00
_cell_angle_beta 90.00
_cell_angle_gamma 90.00
_symmetry_space_group_name_H-M 'P 1'
_symmetry_Int_Tables_number 1
_symmetry_space_group_name_Hall 'P 1'
loop_
_atom_site_label
_atom_site_fract_x
_atom_site_fract_y
_atom_site_fract_z
Ac1 0.500 0.779 0.205
Ac2 0.000 0.221 0.705
Ac3 0.500 0.779 0.795
Ac4 0.000 0.221 0.295
Tb1 0.500 0.249 0.500
Tb2 0.000 0.751 0.000
Cr1 0.000 0.741 0.500
Cr2 0.500 0.259 0.000
S1 0.500 0.235 0.237
S2 0.500 0.235 0.763
S3 0.000 0.765 0.263
S4 0.000 0.765 0.737
S5 0.234 0.982 0.500
S6 0.766 0.982 0.500
S7 0.217 0.486 0.500
S8 0.783 0.486 0.500
S9 0.717 0.514 0.000
S10 0.283 0.514 0.000
S11 0.266 0.018 0.000
S12 0.734 0.018 0.000

=====

Record 13
# PBE Ac2TiCrS6, relaxed
# **ΔE_f (raw)**: -1.505 eV per atom
# **N(E_F)**: 5.81 states/eV per cell
# **Space-group type**: No. 59
data_Ac2TiCrS6
_cell_length_a 6.672
_cell_length_b 6.673
_cell_length_c 9.455
_cell_angle_alpha 90.00
_cell_angle_beta 90.00
_cell_angle_gamma 90.00
_symmetry_space_group_name_H-M 'P 1'
_symmetry_Int_Tables_number 1
_symmetry_space_group_name_Hall 'P 1'
loop_
_atom_site_label
_atom_site_fract_x
_atom_site_fract_y
_atom_site_fract_z
Ac1 0.500 0.751 0.250
Ac2 0.000 0.249 0.750
Ac3 0.500 0.751 0.750
Ac4 0.000 0.249 0.250
Ti1 0.500 0.251 0.500
Ti2 0.000 0.749 0.000
Cr1 0.000 0.750 0.500
Cr2 0.500 0.250 0.000
S1 0.500 0.249 0.247
S2 0.500 0.249 0.753
S3 0.000 0.751 0.253
S4 0.000 0.751 0.747
S5 0.247 0.997 0.500
S6 0.753 0.997 0.500
S7 0.247 0.503 0.500
S8 0.753 0.503 0.500
S9 0.747 0.497 0.000
S10 0.253 0.497 0.000
S11 0.253 0.003 0.000
S12 0.747 0.003 0.000

=====

Record 14
# PBE Ac3Tl3CrS8, relaxed
# **ΔE_f (raw)**: -1.201 eV per atom
# **N(E_F)**: 7.18 states/eV per cell
# **Space-group type**: No. 166
data_Ac3Tl3CrS8
_cell_length_a 8.458
_cell_length_b 8.458
_cell_length_c 8.865
_cell_angle_alpha 118.48
_cell_angle_beta 89.99
_cell_angle_gamma 120.00
_symmetry_space_group_name_H-M 'P 1'
_symmetry_Int_Tables_number 1
_symmetry_space_group_name_Hall 'P 1'
loop_
_atom_site_label
_atom_site_fract_x
_atom_site_fract_y
_atom_site_fract_z
Ac1 0.500 0.000 0.500
Ac2 0.500 0.500 0.500
Ac3 0.000 0.500 0.500
Tl1 0.000 0.000 0.000
Tl2 0.000 0.500 0.000
Tl3 0.500 0.500 0.000
Cr1 0.000 0.000 0.500
S1 0.260 0.520 0.281
S2 0.740 0.480 0.719
S3 0.796 0.592 0.310
S4 0.204 0.408 0.690
S5 0.796 0.014 0.310
S6 0.204 0.986 0.690
S7 0.218 0.014 0.310
S8 0.782 0.986 0.690

=====

Record 15
# PBE Ac2UCrS6, relaxed
# **ΔE_f (raw)**: -1.571 eV per atom
# **N(E_F)**: 4.26 states/eV per cell
# **Space-group type**: No. 148
data_Ac2UCrS6
_cell_length_a 7.190
_cell_length_b 7.190
_cell_length_c 6.901
_cell_angle_alpha 58.59
_cell_angle_beta 58.59
_cell_angle_gamma 59.99
_symmetry_space_group_name_H-M 'P 1'
_symmetry_Int_Tables_number 1
_symmetry_space_group_name_Hall 'P 1'
loop_
_atom_site_label
_atom_site_fract_x
_atom_site_fract_y
_atom_site_fract_z
Ac1 0.544 0.544 0.369
Ac2 0.088 0.088 0.734
U1 0.816 0.816 0.552
Cr1 0.316 0.316 0.051
S1 0.549 0.165 0.301
S2 0.165 0.985 0.301
S3 0.985 0.549 0.301
S4 0.467 0.648 0.802
S5 0.648 0.083 0.802
S6 0.083 0.467 0.802

=====

Record 16
# PBE AcU2CrS8, relaxed
# **ΔE_f (raw)**: -1.184 eV per atom
# **N(E_F)**: 9.48 states/eV per cell
# **Space-group type**: No. 10
data_AcU2CrS8
_cell_length_a 6.224
_cell_length_b 6.043
_cell_length_c 8.135
_cell_angle_alpha 90.00
_cell_angle_beta 90.00
_cell_angle_gamma 87.12
_symmetry_space_group_name_H-M 'P 1'
_symmetry_Int_Tables_number 1
_symmetry_space_group_name_Hall 'P 1'
loop_
_atom_site_label
_atom_site_fract_x
_atom_site_fract_y
_atom_site_fract_z
Ac1 0.000 0.000 0.500
U1 0.500 0.500 0.763
U2 0.500 0.500 0.237
Cr1 0.000 0.000 0.000
S1 0.168 0.768 0.206
S2 0.670 0.729 0.000
S3 0.832 0.232 0.206
S4 0.832 0.232 0.794
S5 0.330 0.271 0.000
S6 0.168 0.768 0.794
S7 0.629 0.719 0.500
S8 0.371 0.281 0.500